1.
Material: Zr2Pa2Ni15
Method: DFT, PBE
State: relaxed

VASP energy ... -6.7307 eV/atom
Total magnetization ... 0.0000 μB per atom
Calculated volume ... 13.5 Å³ per atom
ΔE_f ... -5.075 eV/f.u.

Cell lengths 6.4271, 6.4271, 6.4271 Å; angles 81.25, 81.25, 81.25 degrees
Last column: nearest neighbours and their distance in Å.
Positions (direct):
Zr 0.1318 0.1318 0.1318  12 Ni 2.84-2.92
Zr 0.8682 0.8682 0.8682  12 Ni 2.84-2.92
Pa 0.3897 0.3897 0.3897  6 Ni 2.52-2.61, 1 Pa 2.80
Pa 0.6103 0.6103 0.6103  6 Ni 2.52-2.61, 1 Pa 2.80
Ni 0.0000 0.5000 0.5000  8 Ni 2.45-2.51, 2 Pa 2.52
Ni 0.1559 0.1559 0.6712  8 Ni 2.35-2.58, 1 Pa 2.61
Ni 0.1559 0.6712 0.1559  8 Ni 2.35-2.58, 1 Pa 2.61
Ni 0.1768 0.5000 0.8232  8 Ni 2.51-2.71
Ni 0.1768 0.8232 0.5000  8 Ni 2.51-2.71
Ni 0.3288 0.8441 0.8441  8 Ni 2.35-2.58, 1 Pa 2.61
Ni 0.5000 0.0000 0.5000  8 Ni 2.45-2.51, 2 Pa 2.52
Ni 0.5000 0.1768 0.8232  8 Ni 2.51-2.71
Ni 0.5000 0.5000 0.0000  8 Ni 2.45-2.51, 2 Pa 2.52
Ni 0.5000 0.8232 0.1768  8 Ni 2.51-2.71
Ni 0.6712 0.1559 0.1559  8 Ni 2.35-2.58, 1 Pa 2.61
Ni 0.8232 0.1768 0.5000  8 Ni 2.51-2.71
Ni 0.8232 0.5000 0.1768  8 Ni 2.51-2.71
Ni 0.8441 0.3288 0.8441  8 Ni 2.35-2.58, 1 Pa 2.61
Ni 0.8441 0.8441 0.3288  8 Ni 2.35-2.58, 1 Pa 2.61


2.
Material: BaSbI2N
Method: DFT, PBE
State: relaxed

VASP energy ... -2.8150 eV/atom
Relative energy among the computed polymorphs ... 893 meV/atom
Total magnetization ... 1.2008 μB per atom
E_form (uncorrected) ... 0.679 eV per atom
Calculated volume ... 70.4 Å³ per atom

Cell lengths 6.7181, 6.7181, 7.7999 Å; angles 90.00, 90.00, 90.00 degrees
Last column: nearest neighbours and their distance in Å.
Positions (direct):
Ba 0.0000 0.0000 0.0000  4 I 3.36
Sb 0.0000 0.0000 0.5000  2 Ba 3.90
I 0.0000 0.5000 0.0000  2 Ba 3.36
I 0.5000 0.0000 0.0000  2 Ba 3.36
N 0.5000 0.5000 0.5000  4 Sb 4.75, 8 I 5.15


Q: Which value of total magnetization does entry 1 give?
A: 0.0000 μB per atom


Q: What is the formula in the second record?
A: BaSbI2N


Q: The highest total magnetization belongs to which entry?
A: BaSbI2N


Q: Which formula does entry 1 have?
A: Zr2Pa2Ni15